(1)
DFT (PBE-GGA) results for an optimized crystal structure of LiU4Se5.

CIF file:
```
data_LiU4Se5
_symmetry_space_group_name_H-M 'R -3 m'
_symmetry_Int_Tables_number 166
_symmetry_space_group_name_Hall '-R 3 2"'
_cell_length_a 3.9427
_cell_length_b 3.9427
_cell_length_c 51.8388
_cell_angle_alpha 90.00
_cell_angle_beta 90.00
_cell_angle_gamma 120.00
loop_
_atom_site_label
_atom_site_fract_x
_atom_site_fract_y
_atom_site_fract_z
Li1 0.0000 0.0000 0.0000
U1 0.0000 0.0000 0.2006
U2 0.0000 0.0000 0.3984
Se1 0.0000 0.0000 0.0989
Se2 0.0000 0.0000 0.3026
Se3 0.0000 0.0000 0.5000
```

Output
Its energy relative to the elements, uncorrected is -1.0730 eV per atom.

(2)
DFT (PBE-GGA) results for an optimized crystal structure of Ac2Sm6Tl.

CIF file:
```
data_Ac2Sm6Tl
_symmetry_space_group_name_H-M 'I m m m'
_symmetry_Int_Tables_number 71
_symmetry_space_group_name_Hall '-I 2 2'
_cell_length_a 3.7222
_cell_length_b 10.8294
_cell_length_c 15.9396
_cell_angle_alpha 90.00
_cell_angle_beta 90.00
_cell_angle_gamma 90.00
loop_
_atom_site_label
_atom_site_fract_x
_atom_site_fract_y
_atom_site_fract_z
Ac1 0.0000 0.0000 0.1405
Sm1 0.0000 0.2683 0.5000
Sm2 0.0000 0.3421 0.1801
Tl1 0.0000 0.5000 0.0000
```

Output
The calculation puts the formation energy at 0.01 eV/atom.

(3)
DFT (PBE-GGA) results for an optimized crystal structure of LiTl2.

CIF file:
```
data_LiTl2
_symmetry_space_group_name_H-M 'I 4/m m m'
_symmetry_Int_Tables_number 139
_symmetry_space_group_name_Hall '-I 4 2'
_cell_length_a 3.5079
_cell_length_b 3.5079
_cell_length_c 11.9970
_cell_angle_alpha 90.00
_cell_angle_beta 90.00
_cell_angle_gamma 90.00
loop_
_atom_site_label
_atom_site_fract_x
_atom_site_fract_y
_atom_site_fract_z
Li1 0.0000 0.0000 0.0000
Tl1 0.0000 0.0000 0.3481
```

Output
For the energy above the most stable polymorph in this dataset, the calculation gives 12 meV/atom. The calculation puts the formation energy at -0.12 eV/atom.

(4)
DFT (PBE-GGA) results for an optimized crystal structure of GdPuRuRh.

CIF file:
```
data_GdPuRuRh
_symmetry_space_group_name_H-M 'F -4 3 m'
_symmetry_Int_Tables_number 216
_symmetry_space_group_name_Hall 'F -4 2 3'
_cell_length_a 6.8428
_cell_length_b 6.8428
_cell_length_c 6.8428
_cell_angle_alpha 90.00
_cell_angle_beta 90.00
_cell_angle_gamma 90.00
loop_
_atom_site_label
_atom_site_fract_x
_atom_site_fract_y
_atom_site_fract_z
Gd1 0.0000 0.0000 0.0000
Pu1 0.0000 0.0000 0.5000
Ru1 0.2500 0.2500 0.7500
Rh1 0.2500 0.2500 0.2500
```

Output
The calculation puts the formation energy at -0.39 eV/atom.